Na3ScCl6 after structural relaxation. Source: Alexandria, functional PBE.

Calculated values
formation energy (no corrections)	-1.9302	eV per atom
symmetry	No. 14
DOS at the Fermi energy	0.00	states/eV/cell

abc: 7.2082 6.7859 12.0778
angles: 56.13 90.00 90.00
With the nearest neighbours (Å) after each atom.
Sites, in units of the cell vectors:
Na1 0.0000 0.5000 0.5000  6 Cl 2.75-2.89
Na2 0.9202 0.7116 0.7577  6 Cl 2.85-3.17
Na3 0.4202 0.2884 0.7423  6 Cl 2.85-3.17
Na4 0.5798 0.7116 0.2577  6 Cl 2.85-3.17
Na5 0.5000 0.5000 0.0000  6 Cl 2.75-2.89
Na6 0.0798 0.2884 0.2423  6 Cl 2.85-3.17
Cl1 0.2087 0.7541 0.5780  1 Sc 2.52, 1 Na 2.82
Cl2 0.1804 0.3616 0.9368  1 Sc 2.49, 1 Na 2.75
Cl3 0.9427 0.9068 0.2304  1 Sc 2.52
Cl4 0.4427 0.0932 0.2696  1 Sc 2.52
Cl5 0.7913 0.2459 0.4220  1 Sc 2.52, 1 Na 2.82
Cl6 0.2913 0.7541 0.0780  1 Sc 2.52, 1 Na 2.82
Cl7 0.0573 0.0932 0.7696  1 Sc 2.52
Cl8 0.8196 0.6384 0.0632  1 Sc 2.49, 1 Na 2.75
Cl9 0.6804 0.6384 0.5632  1 Sc 2.49, 1 Na 2.75
Cl10 0.3196 0.3616 0.4368  1 Sc 2.49, 1 Na 2.75
Cl11 0.7087 0.2459 0.9220  1 Sc 2.52, 1 Na 2.82
Cl12 0.5573 0.9068 0.7304  1 Sc 2.52
Sc1 0.5000 0.0000 0.5000  6 Cl 2.49-2.52
Sc2 0.0000 0.0000 0.0000  6 Cl 2.49-2.52